# 1
VASP calculation (GGA-PBE) on crystalline LaTaPb2 at its relaxed geometry.

Properties
**DFT formation energy**: 27.6 kJ/mol of atoms
**Magnetization**: 0.2 μB/f.u.
**Raw total energy**: -5.76 eV per atom

Lattice parameters (Å, degrees): 3.287 5.775 5.775 90.00 90.09 90.00
Space group Pm (No. 6)
Asymmetric unit:
La: 0.000 0.000 0.000 [1 per cell]
Ta: 0.386 0.500 0.502 [1 per cell]
Pb: 0.529 0.000 0.500 [1 per cell]
Pb: 0.529 0.500 0.002 [1 per cell]

---

# 2
VASP calculation (GGA-PBE) on crystalline La2TaPb at its relaxed geometry.

Properties
**DFT formation energy**: 46.9 kJ/mol of atoms
**Magnetization**: 0.4 μB/f.u.
**Raw total energy**: -5.87 eV per atom

Lattice parameters (Å, degrees): 8.652 8.652 6.280 90.00 90.00 90.00
Space group I-42d (No. 122)
Asymmetric unit:
La: 0.217 0.250 0.125 [8 per cell]
Ta: 0.000 0.000 0.000 [4 per cell]
Pb: 0.000 0.000 0.500 [4 per cell]

---

# 3
VASP calculation (GGA-PBE) on crystalline La2TaPb at its relaxed geometry.

Properties
**DFT formation energy**: 13.2 kJ/mol of atoms
**Magnetization**: 0.0 μB/f.u.
**Raw total energy**: -6.22 eV per atom

Lattice parameters (Å, degrees): 12.269 3.314 5.857 90.00 105.61 90.00
Space group Cm (No. 8)
Asymmetric unit:
La: 0.000 0.000 0.000 [2 per cell]
La: 0.194 0.000 0.630 [2 per cell]
Ta: 0.245 0.500 0.149 [2 per cell]
Pb: 0.435 0.000 0.467 [2 per cell]

---

# 4
VASP calculation (GGA-PBE) on crystalline La2TaPb at its relaxed geometry.

Properties
**DFT formation energy**: 28.3 kJ/mol of atoms
**Magnetization**: 0.0 μB/f.u.
**Raw total energy**: -6.06 eV per atom

Lattice parameters (Å, degrees): 7.547 7.547 7.547 90.00 90.00 90.00
Space group F-43m (No. 216)
Asymmetric unit:
La: 0.000 0.000 0.000 [4 per cell]
La: 0.250 0.250 0.250 [4 per cell]
Ta: 0.250 0.250 0.750 [4 per cell]
Pb: 0.000 0.000 0.500 [4 per cell]

---

# 5
VASP calculation (GGA-PBE) on crystalline LaTaPb2 at its relaxed geometry.

Properties
**DFT formation energy**: 50.2 kJ/mol of atoms
**Magnetization**: 2.9 μB/f.u.
**Raw total energy**: -5.53 eV per atom

Lattice parameters (Å, degrees): 7.646 7.646 7.646 90.00 90.00 90.00
Space group F-43m (No. 216)
Asymmetric unit:
La: 0.000 0.000 0.000 [4 per cell]
Ta: 0.250 0.250 0.250 [4 per cell]
Pb: 0.000 0.000 0.500 [4 per cell]
Pb: 0.250 0.250 0.750 [4 per cell]

---

# 6
VASP calculation (GGA-PBE) on crystalline LaTaPb at its relaxed geometry.

Properties
**DFT formation energy**: 30.6 kJ/mol of atoms
**Polymorph energy (0 for the lowest one)**: 40.5 meV per atom
**Magnetization**: 0.0 μB/f.u.
**Raw total energy**: -6.51 eV per atom

Lattice parameters (Å, degrees): 3.801 3.801 11.153 90.00 90.00 90.00
Space group I4mm (No. 107)
Asymmetric unit:
La: 0.000 0.000 0.000 [2 per cell]
Ta: 0.000 0.000 0.309 [2 per cell]
Pb: 0.000 0.000 0.701 [2 per cell]

---

# 7
VASP calculation (GGA-PBE) on crystalline La2Ta2Pb at its relaxed geometry.

Properties
**DFT formation energy**: 93.0 kJ/mol of atoms
**Polymorph energy (0 for the lowest one)**: 709.8 meV per atom
**Magnetization**: 0.0 μB/f.u.
**Raw total energy**: -6.49 eV per atom

Lattice parameters (Å, degrees): 4.676 4.676 13.253 90.00 90.00 90.00
Space group I4/mmm (No. 139)
Asymmetric unit:
La: 0.000 0.500 0.250 [4 per cell]
Ta: 0.000 0.000 0.088 [4 per cell]
Pb: 0.000 0.000 0.500 [2 per cell]

---

# 8
VASP calculation (GGA-PBE) on crystalline La2TaPb at its relaxed geometry.

Properties
**DFT formation energy**: 16.4 kJ/mol of atoms
**Magnetization**: 0.0 μB/f.u.
**Raw total energy**: -6.18 eV per atom

Lattice parameters (Å, degrees): 3.366 4.470 7.667 90.00 90.00 90.00
Space group Pmmm (No. 47)
Asymmetric unit:
La: 0.000 0.000 0.236 [2 per cell]
Ta: 0.500 0.500 0.000 [1 per cell]
Pb: 0.500 0.500 0.500 [1 per cell]

---

# 9
VASP calculation (GGA-PBE) on crystalline La2Ta2Pb at its relaxed geometry.

Properties
**DFT formation energy**: 24.5 kJ/mol of atoms
**Polymorph energy (0 for the lowest one)**: 0.0 meV per atom
**Magnetization**: 0.0 μB/f.u.
**Raw total energy**: -7.20 eV per atom

Lattice parameters (Å, degrees): 7.596 7.596 4.656 90.00 90.00 90.00
Space group P4/mbm (No. 127)
Asymmetric unit:
La: 0.181 0.319 0.000 [4 per cell]
Ta: 0.121 0.621 0.500 [4 per cell]
Pb: 0.000 0.000 0.500 [2 per cell]

---

# 10
VASP calculation (GGA-PBE) on crystalline LaTaPb at its relaxed geometry.

Properties
**DFT formation energy**: 113.5 kJ/mol of atoms
**Polymorph energy (0 for the lowest one)**: 899.9 meV per atom
**Magnetization**: 3.3 μB/f.u.
**Raw total energy**: -5.65 eV per atom

Lattice parameters (Å, degrees): 7.383 7.383 7.383 90.00 90.00 90.00
Space group F-43m (No. 216)
Asymmetric unit:
La: 0.000 0.000 0.000 [4 per cell]
Ta: 0.250 0.250 0.250 [4 per cell]
Pb: 0.250 0.250 0.750 [4 per cell]

---

# 11
VASP calculation (GGA-PBE) on crystalline La2TaPb at its relaxed geometry.

Properties
**DFT formation energy**: 9.5 kJ/mol of atoms
**Magnetization**: 0.0 μB/f.u.
**Raw total energy**: -6.26 eV per atom

Lattice parameters (Å, degrees): 4.749 4.757 10.081 90.00 90.00 90.00
Space group Cmmm (No. 65)
Asymmetric unit:
La: 0.000 0.000 0.230 [4 per cell]
Ta: 0.000 0.500 0.000 [2 per cell]
Pb: 0.000 0.500 0.500 [2 per cell]

---

# 12
VASP calculation (GGA-PBE) on crystalline LaTaPb at its relaxed geometry.

Properties
**DFT formation energy**: 26.7 kJ/mol of atoms
**Polymorph energy (0 for the lowest one)**: 0.0 meV per atom
**Magnetization**: 0.0 μB/f.u.
**Raw total energy**: -6.55 eV per atom

Lattice parameters (Å, degrees): 3.201 3.201 15.257 90.00 90.00 90.00
Space group I4mm (No. 107)
Asymmetric unit:
La: 0.000 0.000 0.000 [2 per cell]
Ta: 0.000 0.000 0.659 [2 per cell]
Pb: 0.000 0.000 0.308 [2 per cell]

---

# 13
VASP calculation (GGA-PBE) on crystalline LaTaPb2 at its relaxed geometry.

Properties
**DFT formation energy**: 28.4 kJ/mol of atoms
**Magnetization**: 0.0 μB/f.u.
**Raw total energy**: -5.75 eV per atom

Lattice parameters (Å, degrees): 4.529 4.558 10.398 90.00 90.00 90.00
Space group Imm2 (No. 44)
Asymmetric unit:
La: 0.000 0.000 0.000 [2 per cell]
Ta: 0.000 0.500 0.250 [2 per cell]
Pb: 0.000 0.000 0.503 [2 per cell]
Pb: 0.000 0.500 0.751 [2 per cell]

---

# 14
VASP calculation (GGA-PBE) on crystalline LaTaPb2 at its relaxed geometry.

Properties
**DFT formation energy**: 28.3 kJ/mol of atoms
**Magnetization**: 0.0 μB/f.u.
**Raw total energy**: -5.76 eV per atom

Lattice parameters (Å, degrees): 6.796 9.042 3.517 90.00 100.92 90.00
Space group C2/m (No. 12)
Asymmetric unit:
La: 0.000 0.000 0.000 [2 per cell]
Ta: 0.000 0.500 0.000 [2 per cell]
Pb: 0.250 0.250 0.500 [4 per cell]

---

# 15
VASP calculation (GGA-PBE) on crystalline La2TaPb at its relaxed geometry.

Properties
**DFT formation energy**: 12.1 kJ/mol of atoms
**Magnetization**: 0.0 μB/f.u.
**Raw total energy**: -6.23 eV per atom

Lattice parameters (Å, degrees): 3.488 5.387 5.965 90.00 90.00 90.00
Space group Pmm2 (No. 25)
Asymmetric unit:
La: 0.000 0.000 0.000 [1 per cell]
La: 0.000 0.500 0.370 [1 per cell]
Ta: 0.500 0.000 0.527 [1 per cell]
Pb: 0.500 0.500 0.836 [1 per cell]

---

# 16
VASP calculation (GGA-PBE) on crystalline La2TaPb at its relaxed geometry.

Properties
**DFT formation energy**: 19.7 kJ/mol of atoms
**Magnetization**: 0.0 μB/f.u.
**Raw total energy**: -6.15 eV per atom

Lattice parameters (Å, degrees): 3.822 3.822 7.592 90.00 90.00 90.00
Space group P4mm (No. 99)
Asymmetric unit:
La: 0.000 0.000 0.000 [1 per cell]
La: 0.500 0.500 0.304 [1 per cell]
Ta: 0.500 0.500 0.744 [1 per cell]
Pb: 0.000 0.000 0.565 [1 per cell]

---

# 17
VASP calculation (GGA-PBE) on crystalline LaTaPb2 at its relaxed geometry.

Properties
**DFT formation energy**: 18.4 kJ/mol of atoms
**Magnetization**: 0.0 μB/f.u.
**Raw total energy**: -5.86 eV per atom

Lattice parameters (Å, degrees): 10.422 3.465 6.107 90.00 103.08 90.00
Space group C2/m (No. 12)
Asymmetric unit:
La: 0.000 0.000 0.000 [2 per cell]
Ta: 0.000 0.500 0.500 [2 per cell]
Pb: 0.236 0.000 0.712 [4 per cell]

---

# 18
VASP calculation (GGA-PBE) on crystalline LaTaPb2 at its relaxed geometry.

Properties
**DFT formation energy**: 20.4 kJ/mol of atoms
**Magnetization**: 0.0 μB/f.u.
**Raw total energy**: -5.84 eV per atom

Lattice parameters (Å, degrees): 3.3869 3.3869 31.5036 90.00 90.00 120.00
Space group R-3m (No. 166, hexagonal axes)
Asymmetric unit:
La: 0.0000 0.0000 0.0000 [3 per cell]
Ta: 0.0000 0.0000 0.5000 [3 per cell]
Pb: 0.0000 0.0000 0.2410 [6 per cell]

---

# 19
VASP calculation (GGA-PBE) on crystalline LaTaPb at its relaxed geometry.

Properties
**DFT formation energy**: 66.4 kJ/mol of atoms
**Polymorph energy (0 for the lowest one)**: 411.4 meV per atom
**Magnetization**: 1.6 μB/f.u.
**Raw total energy**: -6.14 eV per atom

Lattice parameters (Å, degrees): 7.162 7.162 7.162 90.00 90.00 90.00
Space group F-43m (No. 216)
Asymmetric unit:
La: 0.000 0.000 0.000 [4 per cell]
Ta: 0.000 0.000 0.500 [4 per cell]
Pb: 0.250 0.250 0.250 [4 per cell]

---

# 20
VASP calculation (GGA-PBE) on crystalline LaTaPb2 at its relaxed geometry.

Properties
**DFT formation energy**: 35.7 kJ/mol of atoms
**Magnetization**: 0.0 μB/f.u.
**Raw total energy**: -5.68 eV per atom

Lattice parameters (Å, degrees): 3.2928 3.2928 36.3225 90.00 90.00 120.00
Space group R3m (No. 160, hexagonal axes)
Asymmetric unit:
La: 0.0000 0.0000 0.0000 [3 per cell]
Ta: 0.0000 0.0000 0.7404 [3 per cell]
Pb: 0.0000 0.0000 0.2430 [3 per cell]
Pb: 0.0000 0.0000 0.4775 [3 per cell]

---

# 21
VASP calculation (GGA-PBE) on crystalline LaTaPb2 at its relaxed geometry.

Properties
**DFT formation energy**: 16.1 kJ/mol of atoms
**Magnetization**: 0.2 μB/f.u.
**Raw total energy**: -5.88 eV per atom

Lattice parameters (Å, degrees): 3.454 3.454 8.654 90.00 90.00 90.00
Space group P4/mmm (No. 123)
Asymmetric unit:
La: 0.000 0.000 0.000 [1 per cell]
Ta: 0.000 0.000 0.500 [1 per cell]
Pb: 0.500 0.500 0.282 [2 per cell]

---

# 22
VASP calculation (GGA-PBE) on crystalline LaTaPb2 at its relaxed geometry.

Properties
**DFT formation energy**: 22.9 kJ/mol of atoms
**Magnetization**: 0.0 μB/f.u.
**Raw total energy**: -5.81 eV per atom

Lattice parameters (Å, degrees): 3.221 4.939 14.469 90.00 90.00 90.00
Space group Imm2 (No. 44)
Asymmetric unit:
La: 0.000 0.000 0.000 [2 per cell]
Ta: 0.000 0.500 0.292 [2 per cell]
Pb: 0.000 0.000 0.618 [2 per cell]
Pb: 0.000 0.500 0.822 [2 per cell]

---

# 23
VASP calculation (GGA-PBE) on crystalline LaTaPb2 at its relaxed geometry.

Properties
**DFT formation energy**: 29.3 kJ/mol of atoms
**Magnetization**: 0.0 μB/f.u.
**Raw total energy**: -5.75 eV per atom

Lattice parameters (Å, degrees): 3.786 3.786 7.830 90.00 90.00 90.00
Space group P4mm (No. 99)
Asymmetric unit:
La: 0.000 0.000 0.000 [1 per cell]
Ta: 0.500 0.500 0.725 [1 per cell]
Pb: 0.000 0.000 0.572 [1 per cell]
Pb: 0.500 0.500 0.320 [1 per cell]

---

# 24
VASP calculation (GGA-PBE) on crystalline LaTaPb2 at its relaxed geometry.

Properties
**DFT formation energy**: 30.2 kJ/mol of atoms
**Magnetization**: 0.0 μB/f.u.
**Raw total energy**: -5.74 eV per atom

Lattice parameters (Å, degrees): 6.777 9.093 3.429 90.00 90.00 90.00
Space group Cmmm (No. 65)
Asymmetric unit:
La: 0.000 0.000 0.000 [2 per cell]
Ta: 0.000 0.500 0.000 [2 per cell]
Pb: 0.250 0.250 0.500 [4 per cell]

---

# 25
VASP calculation (GGA-PBE) on crystalline LaTaPb2 at its relaxed geometry.

Properties
**DFT formation energy**: 51.1 kJ/mol of atoms
**Magnetization**: 0.0 μB/f.u.
**Raw total energy**: -5.52 eV per atom

Lattice parameters (Å, degrees): 4.626 4.626 21.929 90.00 90.00 90.00
Space group I-42d (No. 122)
Asymmetric unit:
La: 0.000 0.000 0.000 [4 per cell]
Ta: 0.000 0.000 0.500 [4 per cell]
Pb: 0.217 0.250 0.625 [8 per cell]

---

# 26
VASP calculation (GGA-PBE) on crystalline La2TaPb at its relaxed geometry.

Properties
**DFT formation energy**: 29.9 kJ/mol of atoms
**Magnetization**: 0.0 μB/f.u.
**Raw total energy**: -6.04 eV per atom

Lattice parameters (Å, degrees): 3.753 5.459 11.025 90.00 90.00 90.00
Space group Cmm2 (No. 35)
Asymmetric unit:
La: 0.000 0.000 0.000 [2 per cell]
La: 0.000 0.500 0.315 [2 per cell]
Ta: 0.000 0.000 0.536 [2 per cell]
Pb: 0.000 0.500 0.743 [2 per cell]

---

# 27
VASP calculation (GGA-PBE) on crystalline La2TaPb at its relaxed geometry.

Properties
**DFT formation energy**: 17.1 kJ/mol of atoms
**Magnetization**: 0.0 μB/f.u.
**Raw total energy**: -6.18 eV per atom

Lattice parameters (Å, degrees): 4.872 4.872 4.686 90.00 90.00 90.00
Space group P4/mmm (No. 123)
Asymmetric unit:
La: 0.000 0.500 0.000 [2 per cell]
Ta: 0.000 0.000 0.500 [1 per cell]
Pb: 0.500 0.500 0.500 [1 per cell]

---

# 28
VASP calculation (GGA-PBE) on crystalline La2TaPb at its relaxed geometry.

Properties
**DFT formation energy**: 13.4 kJ/mol of atoms
**Magnetization**: 0.0 μB/f.u.
**Raw total energy**: -6.22 eV per atom

Lattice parameters (Å, degrees): 6.857 9.659 3.337 90.00 90.00 90.00
Space group Cmmm (No. 65)
Asymmetric unit:
La: 0.250 0.250 0.000 [4 per cell]
Ta: 0.000 0.000 0.500 [2 per cell]
Pb: 0.000 0.500 0.500 [2 per cell]

---

# 29
VASP calculation (GGA-PBE) on crystalline La2TaPb at its relaxed geometry.

Properties
**DFT formation energy**: 15.5 kJ/mol of atoms
**Magnetization**: 0.0 μB/f.u.
**Raw total energy**: -6.19 eV per atom

Lattice parameters (Å, degrees): 4.330 5.100 10.183 90.00 90.00 90.00
Space group Imm2 (No. 44)
Asymmetric unit:
La: 0.000 0.000 0.000 [2 per cell]
La: 0.000 0.500 0.236 [2 per cell]
Ta: 0.000 0.500 0.771 [2 per cell]
Pb: 0.000 0.000 0.474 [2 per cell]

---

# 30
VASP calculation (GGA-PBE) on crystalline La3TaPb at its relaxed geometry.

Properties
**DFT formation energy**: 25.3 kJ/mol of atoms
**Polymorph energy (0 for the lowest one)**: 0.0 meV per atom
**Magnetization**: 0.0 μB/f.u.
**Raw total energy**: -5.81 eV per atom

Lattice parameters (Å, degrees): 5.583 5.583 5.583 90.00 90.00 90.00
Space group Pm-3m (No. 221)
Asymmetric unit:
La: 0.000 0.000 0.500 [3 per cell]
Ta: 0.000 0.000 0.000 [1 per cell]
Pb: 0.500 0.500 0.500 [1 per cell]